1.
A relaxed YSbAsN2 crystal, computed with GGA-PBE.

a = 4.007 Å, b = 4.007 Å, c = 8.590 Å
α = 90.00°, β = 90.00°, γ = 90.00°
Atoms (fractional coordinates):
1 Y 0.000 0.000 0.000
2 Sb 0.000 0.000 0.500
3 As 0.500 0.500 0.000
4 N 0.000 0.500 0.500
5 N 0.500 0.000 0.500

## Properties
Formation energy without anion corrections ... 0.873 eV per atom
Space group ... P4/mmm, No. 123
Magnetic moment ... 1.1 Bohr magnetons per cell
V ... 27.587 Å³/atom
Fermi-level density of states ... 0.99 states/eV per cell
Total energy ... -5.504 eV/atom

2.
A relaxed ZnSb2AsN crystal, computed with GGA-PBE.

a = 5.448 Å, b = 5.448 Å, c = 4.526 Å
α = 90.00°, β = 90.00°, γ = 90.00°
Atoms (fractional coordinates):
1 Zn 0.000 0.000 0.000
2 Sb 0.000 0.500 0.500
3 Sb 0.500 0.000 0.500
4 As 0.000 0.000 0.500
5 N 0.500 0.500 0.000

## Properties
Formation energy without anion corrections ... 1.647 eV per atom
Space group ... P4/mmm, No. 123
Magnetic moment ... 0.0 Bohr magnetons per cell
V ... 26.867 Å³/atom
Fermi-level density of states ... 3.32 states/eV per cell
Total energy ... -2.852 eV/atom

3.
A relaxed Sc3As2N crystal, computed with GGA-PBE.

a = 6.273 Å, b = 6.273 Å, c = 5.892 Å
α = 90.00°, β = 90.00°, γ = 71.30°
Atoms (fractional coordinates):
1 Sc 0.137 0.863 0.750
2 Sc 0.350 0.350 0.000
3 Sc 0.350 0.350 0.500
4 Sc 0.650 0.650 0.000
5 Sc 0.650 0.650 0.500
6 Sc 0.863 0.137 0.250
7 As 0.018 0.665 0.250
8 As 0.335 0.982 0.250
9 As 0.665 0.018 0.750
10 As 0.982 0.335 0.750
11 N 0.421 0.579 0.750
12 N 0.579 0.421 0.250

## Properties
Formation energy without anion corrections ... -1.276 eV per atom
Space group ... Cmcm, No. 63
Magnetic moment ... 0.0 Bohr magnetons per cell
V ... 18.299 Å³/atom
Fermi-level density of states ... 1.92 states/eV per cell
Total energy ... -7.380 eV/atom

4.
A relaxed Sc5As2N crystal, computed with GGA-PBE.

a = 5.547 Å, b = 5.547 Å, c = 12.644 Å
α = 90.00°, β = 90.00°, γ = 124.70°
Atoms (fractional coordinates):
1 Sc 0.069 0.931 0.630
2 Sc 0.069 0.931 0.870
3 Sc 0.278 0.722 0.250
4 Sc 0.377 0.623 0.626
5 Sc 0.377 0.623 0.874
6 Sc 0.623 0.377 0.126
7 Sc 0.623 0.377 0.374
8 Sc 0.722 0.278 0.750
9 Sc 0.931 0.069 0.130
10 Sc 0.931 0.069 0.370
11 As 0.194 0.806 0.056
12 As 0.194 0.806 0.444
13 As 0.806 0.194 0.556
14 As 0.806 0.194 0.944
15 N 0.229 0.771 0.750
16 N 0.771 0.229 0.250

## Properties
Formation energy without anion corrections ... -0.932 eV per atom
Space group ... Cmcm, No. 63
Magnetic moment ... 0.0 Bohr magnetons per cell
V ... 19.996 Å³/atom
Fermi-level density of states ... 10.79 states/eV per cell
Total energy ... -7.093 eV/atom

5.
A relaxed Sc4AsN crystal, computed with GGA-PBE.

a = 7.048 Å, b = 5.528 Å, c = 6.851 Å
α = 90.00°, β = 115.62°, γ = 90.00°
Atoms (fractional coordinates):
1 Sc 0.121 0.243 0.310
2 Sc 0.121 0.257 0.810
3 Sc 0.283 0.711 0.625
4 Sc 0.283 0.789 0.125
5 Sc 0.717 0.211 0.875
6 Sc 0.717 0.289 0.375
7 Sc 0.879 0.743 0.190
8 Sc 0.879 0.757 0.690
9 As 0.500 0.000 0.500
10 As 0.500 0.500 0.000
11 N 0.000 0.000 0.000
12 N 0.000 0.500 0.500

## Properties
Formation energy without anion corrections ... -0.958 eV per atom
Space group ... P2_1/c, No. 14
Magnetic moment ... 0.0 Bohr magnetons per cell
V ... 20.056 Å³/atom
Fermi-level density of states ... 12.59 states/eV per cell
Total energy ... -7.342 eV/atom

6.
A relaxed ScAsN3 crystal, computed with GGA-PBE.

a = 3.727 Å, b = 3.727 Å, c = 3.727 Å
α = 90.00°, β = 90.00°, γ = 90.00°
Atoms (fractional coordinates):
1 Sc 0.000 0.000 0.000
2 As 0.500 0.500 0.500
3 N 0.000 0.500 0.500
4 N 0.500 0.000 0.500
5 N 0.500 0.500 0.000

## Properties
Formation energy without anion corrections ... 0.385 eV per atom
Space group ... Pm-3m, No. 221
Magnetic moment ... 0.0 Bohr magnetons per cell
V ... 10.357 Å³/atom
Fermi-level density of states ... 1.81 states/eV per cell
Total energy ... -6.806 eV/atom